[1]
VASP calculation (GGA-PBEsol) on a geometry-optimized Pb3Au structure.

```
4
Lattice="-0.473 -2.688 -2.451 4.844 -2.650 1.971 -4.937 0.116 3.569" Properties=species:S:1:pos:R:3 pbc="T T T"
Pb 1.793 -2.454 -0.400
Pb 0.117 -2.442 2.655
Pb -2.068 -2.021 -0.129
Au 0.164 -0.090 0.067
```

Properties
ΔH_f (0 K) = 0.0 eV/f.u.
SG = Imm2, No. 44
calculated total energy = -0.29231 Ry/atom
DOS at the Fermi energy = 0.411 states/eV/atom



[2]
VASP calculation (GGA-PBEsol) on a geometry-optimized Pb3Au structure.

```
4
Lattice="4.647 0.000 0.000 0.000 4.647 0.000 -2.323 -2.323 4.796" Properties=species:S:1:pos:R:3 pbc="T T T"
Pb 2.323 0.000 2.398
Pb 2.323 2.323 0.000
Pb 0.000 2.323 2.398
Au 0.000 0.000 0.000
```

Properties
ΔH_f (0 K) = 0.2 eV/f.u.
SG = I4/mmm, No. 139
calculated total energy = -0.28866 Ry/atom
DOS at the Fermi energy = 0.302 states/eV/atom



[3]
VASP calculation (GGA-PBEsol) on a geometry-optimized PbAu5 structure.

```
6
Lattice="-4.415 -0.127 -1.278 0.913 -4.743 -2.681 -1.534 -0.078 5.307" Properties=species:S:1:pos:R:3 pbc="T T T"
Pb 0.000 0.000 0.000
Au 0.097 -3.188 -0.019
Au -0.718 -1.633 2.644
Au -2.518 -2.474 0.674
Au -2.975 -0.103 2.014
Au -1.751 -2.435 -1.980
```

Properties
ΔH_f (0 K) = 0.2 eV/f.u.
SG = P6/mmm, No. 191
calculated total energy = -0.28707 Ry/atom
DOS at the Fermi energy = 0.349 states/eV/atom



[4]
VASP calculation (GGA-PBEsol) on a geometry-optimized PbAu4 structure.

```
20
Lattice="-7.405 2.321 -2.512 -0.252 -7.802 2.365 2.331 4.667 6.270" Properties=species:S:1:pos:R:3 pbc="T T T"
Au -1.622 0.508 -0.550
Au -0.055 -1.709 0.518
Au -4.160 -0.636 4.782
Au 0.511 1.023 1.374
Au -1.778 2.449 1.317
Au -3.296 4.539 2.441
Au 1.350 -2.036 5.609
Au 0.728 -1.098 3.026
Au -2.683 -1.921 -0.051
Au -4.974 -3.561 -0.095
Au -0.229 0.180 5.257
Au -5.097 -0.994 0.866
Au -2.018 2.710 4.038
Au -3.309 -3.524 2.085
Au -4.451 2.124 1.842
Au -0.875 -2.938 4.281
Pb -4.248 1.331 -1.441
Pb -0.145 -4.476 1.357
Pb -2.271 -0.347 2.611
Pb 1.337 2.677 3.597
```

Properties
ΔH_f (0 K) = 0.5 eV/f.u.
SG = I-43m, No. 217
calculated total energy = -0.28200 Ry/atom
DOS at the Fermi energy = 0.361 states/eV/atom



[5]
VASP calculation (GGA-PBEsol) on a geometry-optimized PbAu5 structure.

```
6
Lattice="-1.029 -3.144 -3.248 -1.229 -3.536 3.812 -3.770 3.247 -1.948" Properties=species:S:1:pos:R:3 pbc="T T T"
Pb -0.514 -1.572 -1.624
Au -1.981 -0.115 0.738
Au -0.742 -2.135 2.302
Au -2.276 1.960 -1.176
Au -3.437 -0.586 -1.652
Au -2.590 -2.847 0.268
```

Properties
ΔH_f (0 K) = 0.2 eV/f.u.
SG = P-62m, No. 189
calculated total energy = -0.28737 Ry/atom
DOS at the Fermi energy = 0.356 states/eV/atom



[6]
VASP calculation (GGA-PBEsol) on a geometry-optimized Pb5Au4 structure.

```
18
Lattice="-3.060 -2.661 -5.100 -0.576 -7.574 4.297 -6.366 5.925 0.728" Properties=species:S:1:pos:R:3 pbc="T T T"
Au 0.000 0.000 0.000
Au -1.530 -1.330 -2.550
Au -4.729 0.270 -3.547
Au -2.515 -4.892 -2.182
Au -6.583 -3.014 -0.721
Au -4.697 2.994 -0.825
Au -1.121 -5.343 1.379
Au -3.419 -1.296 0.646
Pb -6.893 2.284 -3.299
Pb -2.711 -7.466 -0.721
Pb -4.222 -2.453 -2.430
Pb -2.532 0.980 -1.073
Pb -0.925 -2.768 -0.082
Pb -5.779 -1.856 2.355
Pb -4.436 1.426 1.918
Pb -4.036 -4.404 0.558
Pb -2.506 -3.074 3.108
Pb -5.966 0.095 -0.632
```

Properties
ΔH_f (0 K) = 0.1 eV/f.u.
SG = P6_3/mcm, No. 193
calculated total energy = -0.29080 Ry/atom
DOS at the Fermi energy = 0.440 states/eV/atom



- The lowest calculated total energy belongs to which entry?
  number 1



- Which value of DOS at the Fermi energy does entry 3 give?
  0.349 states/eV/atom